No. 1
Y2TaCrCd PBE-GGA relaxed; electronic total energy = -5.295 eV/atom; spin magnetization = 1.7 Bohr magnetons per cell
1.0
-4.532 -0.920 2.883
-0.664 -4.415 -2.452
2.941 -2.558 3.808
Y Cr Cd Ta
2 1 1 1
Direct
0.000 0.000 0.500
0.500 0.000 0.000
0.500 0.500 0.500
0.000 0.000 0.000
0.000 0.500 0.000

***

No. 2
PrAl2Pt4 PBE-GGA relaxed; electronic total energy = -6.206 eV/atom; spin magnetization = 0.0 Bohr magnetons per cell
1.0
-0.097 3.608 -2.005
-4.978 -2.472 -4.208
-12.000 5.705 10.844
Al Pr Pt
8 4 16
Direct
0.250 0.118 0.802
0.250 0.782 0.070
0.750 0.882 0.198
0.750 0.618 0.698
0.750 0.282 0.430
0.250 0.718 0.570
0.750 0.218 0.930
0.250 0.382 0.302
0.250 0.577 0.863
0.250 0.923 0.363
0.750 0.077 0.637
0.750 0.423 0.137
0.750 0.598 0.330
0.750 0.474 0.557
0.750 0.902 0.830
0.750 0.650 0.990
0.750 0.180 0.285
0.250 0.974 0.943
0.250 0.150 0.510
0.250 0.402 0.670
0.250 0.098 0.170
0.250 0.820 0.715
0.250 0.526 0.443
0.750 0.026 0.057
0.750 0.850 0.490
0.250 0.680 0.215
0.250 0.350 0.010
0.750 0.320 0.785

***

No. 3
La4P PBE-GGA relaxed; electronic total energy = -5.367 eV/atom; spin magnetization = 0.0 Bohr magnetons per cell
1.0
-3.476 3.476 3.476
3.476 -3.476 3.476
3.476 3.476 -3.476
La P
4 1
Direct
0.500 0.000 0.000
0.000 0.500 0.000
0.000 0.000 0.500
0.500 0.500 0.500
0.000 0.000 0.000